No. 1
First-principles (PBE) data for an optimized crystal structure of Tm4Hg3Pb, as listed in Alexandria.

Results
size of the total moment: 0.00 μB per cell
excess energy over the best structure of this formula in the dataset: 28 meV per atom

abc: 3.907 4.696 11.499
angles: 90.00 90.00 90.00
Element x y z (fractional)
Tm (0.500, 0.500, 0.366)
Tm (0.000, 0.500, 0.852)
Tm (0.000, 0.000, 0.150)
Tm (0.500, 0.000, 0.639)
Hg (0.000, 0.500, 0.590)
Hg (0.000, 0.000, 0.412)
Hg (0.500, 0.000, 0.903)
Pb (0.500, 0.500, 0.088)

***

No. 2
First-principles (PBE) data for an optimized crystal structure of TmHgPb6, as listed in Alexandria.

Results
size of the total moment: 0.00 μB per cell

abc: 5.248 6.719 6.719
angles: 89.99 90.00 90.00
Element x y z (fractional)
Tm (0.500, 0.000, 0.000)
Hg (0.500, 0.500, 0.500)
Pb (0.000, 0.750, 0.250)
Pb (0.000, 0.250, 0.750)
Pb (0.000, 0.750, 0.750)
Pb (0.000, 0.250, 0.250)
Pb (0.500, 0.500, 0.000)
Pb (0.500, 0.000, 0.500)

***

No. 3
First-principles (PBE) data for an optimized crystal structure of Tm4HgPb, as listed in Alexandria.

Results
size of the total moment: 0.00 μB per cell
excess energy over the best structure of this formula in the dataset: 0 meV per atom

abc: 6.194 8.448 8.178
angles: 114.44 103.80 105.74
Element x y z (fractional)
Tm (0.038, 0.215, 0.840)
Tm (0.778, 0.702, 0.631)
Tm (0.302, 0.625, 0.840)
Tm (0.352, 0.929, 0.631)
Tm (0.648, 0.071, 0.369)
Tm (0.698, 0.375, 0.160)
Tm (0.222, 0.298, 0.369)
Tm (0.962, 0.785, 0.160)
Hg (0.250, 0.000, 0.000)
Hg (0.750, 0.000, 0.000)
Pb (0.373, 0.623, 0.245)
Pb (0.627, 0.377, 0.755)

***

No. 4
First-principles (PBE) data for an optimized crystal structure of TmHg2Pb2, as listed in Alexandria.

Results
size of the total moment: 0.00 μB per cell

abc: 4.792 4.743 11.926
angles: 90.00 101.59 90.00
Element x y z (fractional)
Tm (0.364, 0.250, 0.727)
Tm (0.636, 0.750, 0.273)
Hg (0.046, 0.750, 0.092)
Hg (0.456, 0.750, 0.912)
Hg (0.954, 0.250, 0.908)
Hg (0.544, 0.250, 0.088)
Pb (0.749, 0.250, 0.499)
Pb (0.251, 0.750, 0.501)
Pb (0.858, 0.750, 0.715)
Pb (0.142, 0.250, 0.285)

***

No. 5
First-principles (PBE) data for an optimized crystal structure of Tm7HgPb4, as listed in Alexandria.

Results
size of the total moment: 0.00 μB per cell

abc: 5.562 9.199 8.051
angles: 80.27 69.79 72.40
Element x y z (fractional)
Tm (0.795, 0.864, 0.547)
Tm (0.205, 0.136, 0.453)
Tm (0.080, 0.685, 0.155)
Tm (0.920, 0.315, 0.845)
Tm (0.352, 0.571, 0.726)
Tm (0.500, 0.000, 0.000)
Tm (0.648, 0.429, 0.274)
Hg (0.000, 0.000, 0.000)
Pb (0.579, 0.218, 0.624)
Pb (0.421, 0.782, 0.376)
Pb (0.721, 0.661, 0.896)
Pb (0.279, 0.339, 0.104)

***

No. 6
First-principles (PBE) data for an optimized crystal structure of Tm8HgPb5, as listed in Alexandria.

Results
size of the total moment: 0.00 μB per cell

abc: 8.013 8.013 8.013
angles: 109.65 109.11 109.65
Element x y z (fractional)
Tm (0.129, 0.748, 0.016)
Tm (0.984, 0.113, 0.733)
Tm (0.771, 0.249, 0.376)
Tm (0.624, 0.395, 0.873)
Tm (0.478, 0.605, 0.229)
Tm (0.619, 0.887, 0.871)
Tm (0.267, 0.252, 0.381)
Tm (0.127, 0.751, 0.522)
Hg (0.250, 0.500, 0.750)
Pb (0.999, 0.374, 0.125)
Pb (0.875, 0.874, 0.249)
Pb (0.751, 0.626, 0.624)
Pb (0.500, 0.000, 0.500)
Pb (0.376, 0.126, 0.001)

***

No. 7
First-principles (PBE) data for an optimized crystal structure of Tm2Hg9Pb, as listed in Alexandria.

Results
size of the total moment: 0.00 μB per cell

abc: 4.575 4.575 14.268
angles: 90.00 90.00 90.00
Element x y z (fractional)
Tm (0.000, 0.000, 0.332)
Tm (0.000, 0.000, 0.668)
Hg (0.500, 0.500, 0.000)
Hg (0.500, 0.500, 0.344)
Hg (0.500, 0.500, 0.656)
Hg (0.500, 0.000, 0.179)
Hg (0.500, 0.000, 0.500)
Hg (0.500, 0.000, 0.821)
Hg (0.000, 0.500, 0.179)
Hg (0.000, 0.500, 0.500)
Hg (0.000, 0.500, 0.821)
Pb (0.000, 0.000, 0.000)

***

No. 8
First-principles (PBE) data for an optimized crystal structure of Tm7Hg4Pb, as listed in Alexandria.

Results
size of the total moment: 0.00 μB per cell

abc: 5.662 8.984 8.035
angles: 61.93 69.37 71.63
Element x y z (fractional)
Tm (0.831, 0.881, 0.457)
Tm (0.169, 0.119, 0.543)
Tm (0.074, 0.600, 0.252)
Tm (0.926, 0.400, 0.748)
Tm (0.286, 0.662, 0.766)
Tm (0.500, 0.000, 0.000)
Tm (0.714, 0.338, 0.234)
Hg (0.529, 0.311, 0.631)
Hg (0.471, 0.689, 0.369)
Hg (0.702, 0.693, 0.904)
Hg (0.298, 0.307, 0.096)
Pb (0.000, 0.000, 0.000)

***

No. 9
First-principles (PBE) data for an optimized crystal structure of Tm3Hg4Pb, as listed in Alexandria.

Results
size of the total moment: 0.00 μB per cell
excess energy over the best structure of this formula in the dataset: 0 meV per atom

abc: 5.189 5.189 9.150
angles: 73.53 73.53 60.00
Element x y z (fractional)
Pb (0.000, 0.000, 0.000)
Tm (0.255, 0.255, 0.236)
Tm (0.745, 0.745, 0.764)
Tm (0.500, 0.500, 0.500)
Hg (0.868, 0.868, 0.397)
Hg (0.382, 0.382, 0.855)
Hg (0.132, 0.132, 0.603)
Hg (0.618, 0.618, 0.145)

***

No. 10
First-principles (PBE) data for an optimized crystal structure of Tm2HgPb4, as listed in Alexandria.

Results
size of the total moment: 0.00 μB per cell
excess energy over the best structure of this formula in the dataset: 0 meV per atom

abc: 5.125 6.452 6.452
angles: 107.21 90.00 90.00
Element x y z (fractional)
Tm (0.000, 0.709, 0.291)
Tm (0.000, 0.291, 0.709)
Hg (0.500, 0.500, 0.500)
Pb (0.000, 0.800, 0.800)
Pb (0.000, 0.200, 0.200)
Pb (0.500, 0.000, 0.500)
Pb (0.500, 0.500, 0.000)

***

No. 11
First-principles (PBE) data for an optimized crystal structure of TmHg6Pb2, as listed in Alexandria.

Results
size of the total moment: 0.00 μB per cell

abc: 5.564 5.660 9.037
angles: 71.75 81.53 61.95
Element x y z (fractional)
Tm (0.000, 0.000, 0.500)
Hg (0.157, 0.829, 0.186)
Hg (0.843, 0.485, 0.186)
Hg (0.843, 0.171, 0.814)
Hg (0.157, 0.515, 0.814)
Hg (0.340, 0.329, 0.500)
Hg (0.660, 0.671, 0.500)
Pb (0.500, 0.820, 0.861)
Pb (0.500, 0.180, 0.139)

***

No. 12
First-principles (PBE) data for an optimized crystal structure of Tm8HgPb2, as listed in Alexandria.

Results
size of the total moment: 0.00 μB per cell

abc: 5.047 6.745 9.904
angles: 102.69 104.76 90.00
Element x y z (fractional)
Tm (0.408, 0.520, 0.816)
Tm (0.655, 0.016, 0.309)
Tm (0.786, 0.664, 0.572)
Tm (0.984, 0.236, 0.969)
Tm (0.214, 0.336, 0.428)
Tm (0.345, 0.984, 0.691)
Tm (0.592, 0.480, 0.184)
Tm (0.016, 0.764, 0.031)
Hg (0.500, 0.000, 0.000)
Pb (0.820, 0.228, 0.640)
Pb (0.180, 0.772, 0.360)

***

| no. | ΔH_f (0 K) (eV per atom) |
| --- | --- |
| 1 | -0.42 |
| 2 | -0.07 |
| 3 | -0.25 |
| 4 | -0.18 |
| 5 | -0.17 |
| 6 | -0.44 |
| 7 | -0.18 |
| 8 | -0.23 |
| 9 | -0.37 |
| 10 | -0.24 |
| 11 | -0.08 |
| 12 | -0.20 |